Version a
Here is Be2AlGa after structural relaxation from the Alexandria database. Energies are from PBE.

* size of the total moment: 0.00 μB per atom

Cell: 6.8062 6.8062 4.9703 Å, 90.00 90.00 90.00°
Closest atoms and distances in Å follow each position.
Sites, in units of the cell vectors:
Be 0.2354 0.7500 0.1250  2 Ga 2.42, 2 Be 2.49, 2 Al 2.55
Be 0.2500 0.2354 0.8750  2 Ga 2.42, 2 Be 2.49, 2 Al 2.55
Be 0.2500 0.2646 0.3750  2 Ga 2.42, 2 Be 2.49, 2 Al 2.55
Be 0.2646 0.7500 0.6250  2 Ga 2.42, 2 Be 2.49, 2 Al 2.55
Be 0.7354 0.2500 0.6250  2 Ga 2.42, 2 Be 2.49, 2 Al 2.55
Be 0.7500 0.7354 0.3750  2 Ga 2.42, 2 Be 2.49, 2 Al 2.55
Be 0.7500 0.7646 0.8750  2 Ga 2.42, 2 Be 2.49, 2 Al 2.55
Be 0.7646 0.2500 0.1250  2 Ga 2.42, 2 Be 2.49, 2 Al 2.55
Al 0.0000 0.0000 0.5000  2 Ga 2.49, 4 Be 2.55
Al 0.0000 0.5000 0.7500  2 Ga 2.49, 4 Be 2.55
Al 0.5000 0.0000 0.2500  2 Ga 2.49, 4 Be 2.55
Al 0.5000 0.5000 0.0000  2 Ga 2.49, 4 Be 2.55
Ga 0.0000 0.0000 0.0000  4 Be 2.42, 2 Al 2.49
Ga 0.0000 0.5000 0.2500  4 Be 2.42, 2 Al 2.49
Ga 0.5000 0.0000 0.7500  4 Be 2.42, 2 Al 2.49
Ga 0.5000 0.5000 0.5000  4 Be 2.42, 2 Al 2.49

=====

Version b
Here is Be2AlGa after structural relaxation from the Alexandria database. Energies are from PBE.

* size of the total moment: 0.00 μB per atom

Cell: 5.8956 5.8956 5.8956 Å, 90.00 90.00 90.00°
Closest atoms and distances in Å follow each position.
Sites, in units of the cell vectors:
Be 0.2500 0.2500 0.2500  4 Al 2.55, 4 Ga 2.55
Be 0.2500 0.2500 0.7500  4 Al 2.55, 4 Ga 2.55
Be 0.2500 0.7500 0.2500  4 Al 2.55, 4 Ga 2.55
Be 0.2500 0.7500 0.7500  4 Al 2.55, 4 Ga 2.55
Be 0.7500 0.2500 0.2500  4 Al 2.55, 4 Ga 2.55
Be 0.7500 0.2500 0.7500  4 Al 2.55, 4 Ga 2.55
Be 0.7500 0.7500 0.2500  4 Al 2.55, 4 Ga 2.55
Be 0.7500 0.7500 0.7500  4 Ga 2.55, 4 Al 2.55
Al 0.0000 0.0000 0.0000  8 Be 2.55
Al 0.0000 0.5000 0.5000  8 Be 2.55
Al 0.5000 0.0000 0.5000  8 Be 2.55
Al 0.5000 0.5000 0.0000  8 Be 2.55
Ga 0.0000 0.0000 0.5000  8 Be 2.55
Ga 0.0000 0.5000 0.0000  8 Be 2.55
Ga 0.5000 0.0000 0.0000  8 Be 2.55
Ga 0.5000 0.5000 0.5000  8 Be 2.55

=====

Relative energies in eV/atom: version a 0.219; version b 0.000

=====

Version a
Here is BeAlGa2 after structural relaxation from the Alexandria database. Energies are from PBE.

* size of the total moment: 0.00 μB per atom

Cell: 4.1375 4.1375 15.7470 Å, 90.00 90.00 90.00°
Closest atoms and distances in Å follow each position.
Sites, in units of the cell vectors:
Be 0.0000 0.0000 0.0000  4 Ga 2.38
Be 0.0000 0.5000 0.2500  4 Ga 2.38
Be 0.5000 0.0000 0.7500  4 Ga 2.38
Be 0.5000 0.5000 0.5000  4 Ga 2.38
Al 0.0000 0.0000 0.5000  4 Ga 2.53
Al 0.0000 0.5000 0.7500  4 Ga 2.53
Al 0.5000 0.0000 0.2500  4 Ga 2.53
Al 0.5000 0.5000 0.0000  4 Ga 2.53
Ga 0.2060 0.2500 0.1250  2 Be 2.38, 2 Al 2.53
Ga 0.2500 0.7060 0.3750  2 Be 2.38, 2 Al 2.53
Ga 0.2500 0.7940 0.8750  2 Be 2.38, 2 Al 2.53
Ga 0.2940 0.2500 0.6250  2 Be 2.38, 2 Al 2.53
Ga 0.7060 0.7500 0.6250  2 Be 2.38, 2 Al 2.53
Ga 0.7500 0.2060 0.8750  2 Be 2.38, 2 Al 2.53
Ga 0.7500 0.2940 0.3750  2 Be 2.38, 2 Al 2.53
Ga 0.7940 0.7500 0.1250  2 Be 2.38, 2 Al 2.53

=====

Version b
Here is BeAlGa2 after structural relaxation from the Alexandria database. Energies are from PBE.

* size of the total moment: 0.00 μB per atom

Cell: 2.8419 2.8419 28.1953 Å, 90.00 90.00 120.00°
Closest atoms and distances in Å follow each position.
Sites, in units of the cell vectors:
Be 0.0000 0.0000 0.0000  2 Ga 2.34
Be 0.3333 0.6667 0.6667  2 Ga 2.34
Be 0.6667 0.3333 0.3333  2 Ga 2.34
Al 0.0000 0.0000 0.5000  6 Al 2.84, 6 Ga 2.87
Al 0.3333 0.6667 0.1667  6 Al 2.84, 6 Ga 2.87
Al 0.6667 0.3333 0.8333  6 Al 2.84, 6 Ga 2.87
Ga 0.0000 0.0000 0.0829  1 Be 2.34
Ga 0.0000 0.0000 0.9171  1 Be 2.34
Ga 0.3333 0.6667 0.5837  1 Be 2.34
Ga 0.3333 0.6667 0.7496  1 Be 2.34
Ga 0.6667 0.3333 0.2504  1 Be 2.34
Ga 0.6667 0.3333 0.4163  1 Be 2.34

=====

Relative energies in eV/atom: version a 0.000; version b 0.111

=====

Version a
Here is BeAl3Ga after structural relaxation from the Alexandria database. Energies are from PBE.

* size of the total moment: 0.00 μB per atom

Cell: 4.4216 4.4216 4.4216 Å, 90.00 90.00 90.00°
Closest atoms and distances in Å follow each position.
Sites, in units of the cell vectors:
Be 0.0000 0.0000 0.0000  6 Al 2.21
Al 0.0000 0.0000 0.5000  2 Be 2.21
Al 0.0000 0.5000 0.0000  2 Be 2.21
Al 0.5000 0.0000 0.0000  2 Be 2.21
Ga 0.5000 0.5000 0.5000  12 Al 3.13

=====

Version b
Here is BeAl3Ga after structural relaxation from the Alexandria database. Energies are from PBE.

* size of the total moment: 0.00 μB per atom

Cell: 4.8102 4.8102 4.8102 Å, 90.00 90.00 90.00°
Closest atoms and distances in Å follow each position.
Sites, in units of the cell vectors:
Be 0.0000 0.0000 0.0000  12 Al 3.40
Al 0.0000 0.5000 0.5000  2 Ga 2.41
Al 0.5000 0.0000 0.5000  2 Ga 2.41
Al 0.5000 0.5000 0.0000  2 Ga 2.41
Ga 0.5000 0.5000 0.5000  6 Al 2.41

=====

Relative energies in eV/atom: version a 0.000; version b 0.620

=====

Version a
Here is Gd2BeAl after structural relaxation from the Alexandria database. Energies are from PBE.

* size of the total moment: 3.66 μB per atom

Cell: 7.1224 7.1224 7.1224 Å, 90.00 90.00 90.00°
Closest atoms and distances in Å follow each position.
Sites, in units of the cell vectors:
Gd 0.2500 0.2500 0.2500  4 Be 3.08, 4 Al 3.08
Gd 0.2500 0.2500 0.7500  4 Be 3.08, 4 Al 3.08
Gd 0.2500 0.7500 0.2500  4 Be 3.08, 4 Al 3.08
Gd 0.2500 0.7500 0.7500  4 Be 3.08, 4 Al 3.08
Gd 0.7500 0.2500 0.2500  4 Be 3.08, 4 Al 3.08
Gd 0.7500 0.2500 0.7500  4 Be 3.08, 4 Al 3.08
Gd 0.7500 0.7500 0.2500  4 Be 3.08, 4 Al 3.08
Gd 0.7500 0.7500 0.7500  4 Al 3.08, 4 Be 3.08
Be 0.0000 0.0000 0.0000  8 Gd 3.08
Be 0.0000 0.5000 0.5000  8 Gd 3.08
Be 0.5000 0.0000 0.5000  8 Gd 3.08
Be 0.5000 0.5000 0.0000  8 Gd 3.08
Al 0.0000 0.0000 0.5000  8 Gd 3.08
Al 0.0000 0.5000 0.0000  8 Gd 3.08
Al 0.5000 0.0000 0.0000  8 Gd 3.08
Al 0.5000 0.5000 0.5000  8 Gd 3.08

=====

Version b
Here is Gd2BeAl after structural relaxation from the Alexandria database. Energies are from PBE.

* size of the total moment: 3.65 μB per atom

Cell: 3.4995 3.4995 7.2687 Å, 90.00 90.00 90.00°
Closest atoms and distances in Å follow each position.
Sites, in units of the cell vectors:
Gd 0.0000 0.0000 0.2309  4 Be 2.99, 4 Al 3.15
Gd 0.0000 0.0000 0.7691  4 Be 2.99, 4 Al 3.15
Be 0.5000 0.5000 0.0000  8 Gd 2.99
Al 0.5000 0.5000 0.5000  8 Gd 3.15, 4 Al 3.50

=====

Relative energies in eV/atom: version a 0.030; version b 0.000

=====

Version a
Here is BeAl3Ge after structural relaxation from the Alexandria database. Energies are from PBE.

* size of the total moment: 0.00 μB per atom

Cell: 4.8498 4.8498 4.8498 Å, 90.00 90.00 90.00°
Closest atoms and distances in Å follow each position.
Sites, in units of the cell vectors:
Be 0.0000 0.0000 0.0000  12 Al 3.43
Al 0.0000 0.5000 0.5000  2 Ge 2.42
Al 0.5000 0.0000 0.5000  2 Ge 2.42
Al 0.5000 0.5000 0.0000  2 Ge 2.42
Ge 0.5000 0.5000 0.5000  6 Al 2.42

=====

Version b
Here is BeAl3Ge after structural relaxation from the Alexandria database. Energies are from PBE.

* size of the total moment: 0.00 μB per atom

Cell: 4.3900 4.3900 4.3900 Å, 90.00 90.00 90.00°
Closest atoms and distances in Å follow each position.
Sites, in units of the cell vectors:
Be 0.0000 0.0000 0.0000  6 Al 2.20
Al 0.0000 0.0000 0.5000  2 Be 2.20
Al 0.0000 0.5000 0.0000  2 Be 2.20
Al 0.5000 0.0000 0.0000  2 Be 2.20
Ge 0.5000 0.5000 0.5000  12 Al 3.10

=====

Relative energies in eV/atom: version a 0.625; version b 0.000

=====

Version a
Here is BeAlGe3 after structural relaxation from the Alexandria database. Energies are from PBE.

* size of the total moment: 0.00 μB per atom

Cell: 4.5227 4.5227 4.5227 Å, 90.00 90.00 90.00°
Closest atoms and distances in Å follow each position.
Sites, in units of the cell vectors:
Be 0.0000 0.0000 0.0000  6 Ge 2.26
Al 0.5000 0.5000 0.5000  12 Ge 3.20
Ge 0.0000 0.0000 0.5000  2 Be 2.26
Ge 0.0000 0.5000 0.0000  2 Be 2.26
Ge 0.5000 0.0000 0.0000  2 Be 2.26

=====

Version b
Here is BeAlGe3 after structural relaxation from the Alexandria database. Energies are from PBE.

* size of the total moment: 0.00 μB per atom

Cell: 4.8446 4.8446 4.8446 Å, 90.00 90.00 90.00°
Closest atoms and distances in Å follow each position.
Sites, in units of the cell vectors:
Be 0.0000 0.0000 0.0000  12 Ge 3.43
Al 0.5000 0.5000 0.5000  6 Ge 2.42
Ge 0.0000 0.5000 0.5000  2 Al 2.42
Ge 0.5000 0.0000 0.5000  2 Al 2.42
Ge 0.5000 0.5000 0.0000  2 Al 2.42

=====

Relative energies in eV/atom: version a 0.000; version b 0.506